# 1
Computed, not measured: a geometry-optimized ZnTeH2O structure at the PBE level of DFT.

Geometry as CIF:
```
data_ZnTeH2O
_chemical_formula_sum 'Zn1 Te1 H2 O1'
_symmetry_space_group_name_H-M 'P 4/m m m'
_symmetry_Int_Tables_number 123
_symmetry_space_group_name_Hall '-P 4 2'
_cell_length_a 3.341
_cell_length_b 3.341
_cell_length_c 6.028
_cell_angle_alpha 90.00
_cell_angle_beta 90.00
_cell_angle_gamma 90.00
loop_
_atom_site_label
_atom_site_fract_x
_atom_site_fract_y
_atom_site_fract_z
Zn1 0.000 0.000 0.000
Te1 0.000 0.000 0.500
H1 0.000 0.500 0.000
O1 0.500 0.500 0.500
```

Properties
- Crystal system: tetragonal
- DFT total energy: -3.143 eV per atom
- Magnetization: 0.000 μB per atom

# 2
Computed, not measured: a geometry-optimized HfTcBr2 structure at the PBE level of DFT.

Geometry as CIF:
```
data_HfTcBr2
_chemical_formula_sum 'Hf4 Tc4 Br8'
_symmetry_space_group_name_H-M 'I -4 2 d'
_symmetry_Int_Tables_number 122
_symmetry_space_group_name_Hall 'I -4 2bw'
_cell_length_a 6.026
_cell_length_b 6.026
_cell_length_c 10.755
_cell_angle_alpha 90.00
_cell_angle_beta 90.00
_cell_angle_gamma 90.00
loop_
_atom_site_label
_atom_site_fract_x
_atom_site_fract_y
_atom_site_fract_z
Hf1 0.000 0.000 0.000
Tc1 0.000 0.000 0.500
Br1 0.228 0.250 0.625
```

Properties
- Crystal system: tetragonal
- DFT total energy: -5.096 eV per atom
- Magnetization: 0.000 μB per atom
- Uncorrected formation energy: 79.15 kJ per mole of atoms

# 3
Computed, not measured: a geometry-optimized Sm2HoS4 structure at the PBE level of DFT.

Geometry as CIF:
```
data_Sm2HoS4
_chemical_formula_sum 'Sm8 Ho4 S16'
_symmetry_space_group_name_H-M 'I m m a'
_symmetry_Int_Tables_number 74
_symmetry_space_group_name_Hall '-I 2b 2'
_cell_length_a 7.922
_cell_length_b 8.011
_cell_length_c 11.071
_cell_angle_alpha 90.00
_cell_angle_beta 90.00
_cell_angle_gamma 90.00
loop_
_atom_site_label
_atom_site_fract_x
_atom_site_fract_y
_atom_site_fract_z
Sm1 0.000 0.000 0.000
Sm2 0.250 0.250 0.250
Ho1 0.250 0.250 0.750
S1 0.000 0.007 0.746
S2 0.245 0.250 0.997
```

Properties
- Crystal system: orthorhombic
- DFT total energy: -6.398 eV per atom
- Magnetization: 0.000 μB per atom
- Uncorrected formation energy: -196.53 kJ per mole of atoms

# 4
Computed, not measured: a geometry-optimized TiHAu2N structure at the PBE level of DFT.

Geometry as CIF:
```
data_TiHAu2N
_chemical_formula_sum 'Ti1 H1 Au2 N1'
_symmetry_space_group_name_H-M 'P 4/m m m'
_symmetry_Int_Tables_number 123
_symmetry_space_group_name_Hall '-P 4 2'
_cell_length_a 3.655
_cell_length_b 3.655
_cell_length_c 5.214
_cell_angle_alpha 90.00
_cell_angle_beta 90.00
_cell_angle_gamma 90.00
loop_
_atom_site_label
_atom_site_fract_x
_atom_site_fract_y
_atom_site_fract_z
Ti1 0.000 0.000 0.000
H1 0.500 0.500 0.500
Au1 0.000 0.500 0.500
N1 0.500 0.500 0.000
```

Properties
- Crystal system: tetragonal
- DFT total energy: -4.606 eV per atom
- Magnetization: 0.000 μB per atom

# 5
Computed, not measured: a geometry-optimized InRuN2F structure at the PBE level of DFT.

Geometry as CIF:
```
data_InRuN2F
_chemical_formula_sum 'In1 Ru1 N2 F1'
_symmetry_space_group_name_H-M 'P 4/m m m'
_symmetry_Int_Tables_number 123
_symmetry_space_group_name_Hall '-P 4 2'
_cell_length_a 3.919
_cell_length_b 3.919
_cell_length_c 4.515
_cell_angle_alpha 90.00
_cell_angle_beta 90.00
_cell_angle_gamma 90.00
loop_
_atom_site_label
_atom_site_fract_x
_atom_site_fract_y
_atom_site_fract_z
In1 0.000 0.000 0.000
Ru1 0.500 0.500 0.500
N1 0.000 0.500 0.500
F1 0.500 0.500 0.000
```

Properties
- Crystal system: tetragonal
- DFT total energy: -5.905 eV per atom
- Magnetization: 0.000 μB per atom
- Uncorrected formation energy: 19.53 kJ per mole of atoms

# 6
Computed, not measured: a geometry-optimized KBe2Re structure at the PBE level of DFT.

Geometry as CIF:
```
data_KBe2Re
_chemical_formula_sum 'K2 Be4 Re2'
_symmetry_space_group_name_H-M 'I m m 2'
_symmetry_Int_Tables_number 44
_symmetry_space_group_name_Hall 'I 2 -2'
_cell_length_a 2.484
_cell_length_b 5.141
_cell_length_c 10.221
_cell_angle_alpha 90.00
_cell_angle_beta 90.00
_cell_angle_gamma 90.00
loop_
_atom_site_label
_atom_site_fract_x
_atom_site_fract_y
_atom_site_fract_z
K1 0.000 0.000 0.000
Be1 0.000 0.000 0.502
Be2 0.000 0.500 0.797
Re1 0.000 0.500 0.199
```

Properties
- Crystal system: orthorhombic
- DFT total energy: -4.240 eV per atom
- Energy of formation: 1.010 eV per atom
- Magnetization: 0.000 μB per atom

# 7
Computed, not measured: a geometry-optimized HoTiPd5 structure at the PBE level of DFT.

Geometry as CIF:
```
data_HoTiPd5
_chemical_formula_sum 'Ho1 Ti1 Pd5'
_symmetry_space_group_name_H-M 'P 4/m m m'
_symmetry_Int_Tables_number 123
_symmetry_space_group_name_Hall '-P 4 2'
_cell_length_a 4.109
_cell_length_b 4.109
_cell_length_c 7.310
_cell_angle_alpha 90.00
_cell_angle_beta 90.00
_cell_angle_gamma 90.00
loop_
_atom_site_label
_atom_site_fract_x
_atom_site_fract_y
_atom_site_fract_z
Ho1 0.000 0.000 0.000
Ti1 0.500 0.500 0.500
Pd1 0.000 0.500 0.290
Pd2 0.500 0.500 0.000
```

Properties
- Crystal system: tetragonal
- DFT total energy: -6.113 eV per atom
- Energy of formation: -0.622 eV per atom
- Magnetization: 0.000 μB per atom

# 8
Computed, not measured: a geometry-optimized VZn2N2 structure at the PBE level of DFT.

Geometry as CIF:
```
data_VZn2N2
_chemical_formula_sum 'V4 Zn8 N8'
_symmetry_space_group_name_H-M 'C 1 2/m 1'
_symmetry_Int_Tables_number 12
_symmetry_space_group_name_Hall '-C 2y'
_cell_length_a 10.499
_cell_length_b 4.671
_cell_length_c 5.957
_cell_angle_alpha 90.00
_cell_angle_beta 123.24
_cell_angle_gamma 90.00
loop_
_atom_site_label
_atom_site_fract_x
_atom_site_fract_y
_atom_site_fract_z
V1 0.150 0.000 0.172
Zn1 0.051 0.500 0.305
Zn2 0.204 0.000 0.754
N1 0.026 0.000 0.803
N2 0.157 0.500 0.733
```

Properties
- Crystal system: monoclinic
- DFT total energy: -5.684 eV per atom
- Magnetization: 0.000 μB per atom
- Uncorrected formation energy: -2.00 kJ per mole of atoms

Q: Which formula does entry 5 have?
A: InRuN2F